# Ni3O4 PBE+U optimized geometry
# - DFT total energy: -4.75 eV/atom
# - Density of states at the Fermi level: 1.69 states/eV/f.u.
data_Ni3O4
_chemical_formula_sum 'Ni12 O16'
_space_group_name_H-M_alt 'C 1 2/m 1'
_space_group_IT_number 12
_space_group_name_Hall '-C 2y'
_cell_length_a 19.2428
_cell_length_b 2.9052
_cell_length_c 5.0808
_cell_angle_alpha 90.00
_cell_angle_beta 92.31
_cell_angle_gamma 90.00
loop_
_atom_site_label
_atom_site_fract_x
_atom_site_fract_y
_atom_site_fract_z
Ni1 0.0000 0.0000 0.0000
Ni2 0.0000 0.5000 0.5000
Ni3 0.1262 0.0000 0.3660
Ni4 0.2437 0.0000 0.7524
O1 0.0516 0.0000 0.6489
O2 0.0573 0.5000 0.2100
O3 0.1900 0.5000 0.5398
O4 0.1985 0.0000 0.0920